# GGA-PBE BaTeSe, optimized geometry
data_BaTeSe
_chemical_formula_sum 'Ba4 Te4 Se4'
_space_group_name_H-M_alt 'F -4 3 m'
_space_group_IT_number 216
_space_group_name_Hall 'F -4 2 3'
_cell_length_a 7.792
_cell_length_b 7.792
_cell_length_c 7.792
_cell_angle_alpha 90.00
_cell_angle_beta 90.00
_cell_angle_gamma 90.00
loop_
_atom_site_label
_atom_site_type_symbol
_atom_site_fract_x
_atom_site_fract_y
_atom_site_fract_z
_atom_site_occupancy
Ba1 Ba 0.000 0.000 0.000 1
Te1 Te 0.250 0.250 0.750 1
Se1 Se 0.000 0.000 0.500 1
# E_form (uncorrected) (eV/f.u.): -2.157
# ΔE to the lowest computed polymorph (meV/atom): 561

---

# GGA-PBE Tm2Hg2Pd3, optimized geometry
data_Tm2Hg2Pd3
_chemical_formula_sum 'Tm2 Hg2 Pd3'
_space_group_name_H-M_alt 'P -1'
_space_group_IT_number 2
_space_group_name_Hall '-P 1'
_cell_length_a 4.266
_cell_length_b 5.270
_cell_length_c 7.285
_cell_angle_alpha 104.36
_cell_angle_beta 90.08
_cell_angle_gamma 113.67
loop_
_atom_site_label
_atom_site_type_symbol
_atom_site_fract_x
_atom_site_fract_y
_atom_site_fract_z
_atom_site_occupancy
Tm1 Tm 0.125 0.249 0.302 1
Hg1 Hg 0.376 0.753 0.075 1
Pd1 Pd 0.176 0.353 0.698 1
Pd2 Pd 0.500 0.000 0.500 1
# E_form (meV per atom): -676.5
# ΔE to the lowest computed polymorph (meV/atom): 37

---

# GGA-PBE La2CdOs, optimized geometry
data_La2CdOs
_chemical_formula_sum 'La8 Cd4 Os4'
_space_group_name_H-M_alt 'I -4 2 d'
_space_group_IT_number 122
_space_group_name_Hall 'I -4 2bw'
_cell_length_a 8.430
_cell_length_b 8.430
_cell_length_c 6.279
_cell_angle_alpha 90.00
_cell_angle_beta 90.00
_cell_angle_gamma 90.00
loop_
_atom_site_label
_atom_site_type_symbol
_atom_site_fract_x
_atom_site_fract_y
_atom_site_fract_z
_atom_site_occupancy
La1 La 0.188 0.250 0.125 1
Cd1 Cd 0.000 0.000 0.500 1
Os1 Os 0.000 0.000 0.000 1
# E_form (meV per atom): 108.1

---

# GGA-PBE KVSe2, optimized geometry
data_KVSe2
_chemical_formula_sum 'K3 V3 Se6'
_space_group_name_H-M_alt 'R 3 m'
_space_group_IT_number 160
_space_group_name_Hall 'R 3 -2"'
_cell_length_a 4.2104
_cell_length_b 4.2104
_cell_length_c 24.7245
_cell_angle_alpha 90.00
_cell_angle_beta 90.00
_cell_angle_gamma 120.00
loop_
_atom_site_label
_atom_site_type_symbol
_atom_site_fract_x
_atom_site_fract_y
_atom_site_fract_z
_atom_site_occupancy
K1 K 0.0000 0.0000 0.0000 1
V1 V 0.0000 0.0000 0.5023 1
Se1 Se 0.0000 0.0000 0.4103 1
Se2 Se 0.0000 0.0000 0.8671 1
# E_form (uncorrected) (eV/f.u.): -2.404

---

# GGA-PBE Ni2GeS, optimized geometry
data_Ni2GeS
_chemical_formula_sum 'Ni6 Ge3 S3'
_space_group_name_H-M_alt 'R -3 m'
_space_group_IT_number 166
_space_group_name_Hall '-R 3 2"'
_cell_length_a 3.6695
_cell_length_b 3.6695
_cell_length_c 17.8565
_cell_angle_alpha 90.00
_cell_angle_beta 90.00
_cell_angle_gamma 120.00
loop_
_atom_site_label
_atom_site_type_symbol
_atom_site_fract_x
_atom_site_fract_y
_atom_site_fract_z
_atom_site_occupancy
Ni1 Ni 0.0000 0.0000 0.1281 1
Ge1 Ge 0.0000 0.0000 0.0000 1
S1 S 0.0000 0.0000 0.5000 1
# E_form (uncorrected) (eV/f.u.): 0.408
# ΔE to the lowest computed polymorph (meV/atom): 245

---

# GGA-PBE CrHgSe2, optimized geometry
data_CrHgSe2
_chemical_formula_sum 'Cr3 Hg3 Se6'
_space_group_name_H-M_alt 'R -3 m'
_space_group_IT_number 166
_space_group_name_Hall '-R 3 2"'
_cell_length_a 3.2667
_cell_length_b 3.2667
_cell_length_c 30.3090
_cell_angle_alpha 90.00
_cell_angle_beta 90.00
_cell_angle_gamma 120.00
loop_
_atom_site_label
_atom_site_type_symbol
_atom_site_fract_x
_atom_site_fract_y
_atom_site_fract_z
_atom_site_occupancy
Cr1 Cr 0.0000 0.0000 0.0000 1
Hg1 Hg 0.0000 0.0000 0.5000 1
Se1 Se 0.0000 0.0000 0.3847 1
# E_form (uncorrected) (eV/f.u.): -1.001

---

# GGA-PBE VAs2Au, optimized geometry
data_VAs2Au
_chemical_formula_sum 'V4 As8 Au4'
_space_group_name_H-M_alt 'I -4 2 d'
_space_group_IT_number 122
_space_group_name_Hall 'I -4 2bw'
_cell_length_a 5.729
_cell_length_b 5.729
_cell_length_c 11.413
_cell_angle_alpha 90.00
_cell_angle_beta 90.00
_cell_angle_gamma 90.00
loop_
_atom_site_label
_atom_site_type_symbol
_atom_site_fract_x
_atom_site_fract_y
_atom_site_fract_z
_atom_site_occupancy
V1 V 0.000 0.000 0.000 1
As1 As 0.221 0.250 0.125 1
Au1 Au 0.000 0.000 0.500 1
# E_form (meV per atom): 156.5

---

# GGA-PBE Pm6PrHo2Mg, optimized geometry
data_Pm6PrHo2Mg
_chemical_formula_sum 'Pm24 Pr4 Ho8 Mg4'
_space_group_name_H-M_alt 'C 1 2/c 1'
_space_group_IT_number 15
_space_group_name_Hall '-C 2yc'
_cell_length_a 10.328
_cell_length_b 13.760
_cell_length_c 9.527
_cell_angle_alpha 90.00
_cell_angle_beta 101.23
_cell_angle_gamma 90.00
loop_
_atom_site_label
_atom_site_type_symbol
_atom_site_fract_x
_atom_site_fract_y
_atom_site_fract_z
_atom_site_occupancy
Pm1 Pm 0.054 0.118 0.096 1
Pm2 Pm 0.093 0.329 0.926 1
Pm3 Pm 0.249 0.284 0.330 1
Pr1 Pr 0.000 0.436 0.250 1
Ho1 Ho 0.236 0.466 0.594 1
Mg1 Mg 0.000 0.099 0.750 1
# E_form (meV per atom): 105.4

---

Number 1: M_tot 0.0 μB/f.u.. Number 2: M_tot 0.0 μB/f.u.. Number 3: M_tot 0.0 μB/f.u.. Number 4: M_tot 2.0 μB/f.u.. Number 5: M_tot 0.0 μB/f.u.. Number 6: M_tot 0.0 μB/f.u.. Number 7: M_tot 0.0 μB/f.u.. Number 8: M_tot 0.0 μB/f.u..